(1)
Material: Ac3Nd5Sm3
Method: DFT, GGA-PBE
State: relaxed

Properties
As for the space group: P-62m (189). The calculation puts the theoretical density at 6.1 g/cm³. The calculation puts the total energy at -3.92 eV per atom. The value obtained for the energy of formation from the pure elements is 659.6 meV/atom.

Geometry as extended XYZ:
```
11
Lattice="9.7777 0.0000 0.0000 -4.8889 8.4677 0.0000 0.0000 0.0000 6.1226" Properties=species:S:1:pos:R:3 pbc="T T T"
Ac -2.0764 3.5965 0.0000
Ac 4.1529 0.0000 0.0000
Ac 2.8124 4.8713 0.0000
Nd -3.0848 5.3430 3.0613
Nd 0.0000 5.6452 3.0613
Nd 1.8040 3.1247 3.0613
Nd 6.1696 0.0000 3.0613
Nd 4.8889 2.8226 3.0613
Sm -1.2934 2.2403 3.0613
Sm 2.5868 0.0000 3.0613
Sm 3.5954 6.2275 3.0613
```



(2)
Material: Ac2Nd5Sm2
Method: DFT, GGA-PBE
State: relaxed

Properties
As for the space group: C2/m (12). The calculation puts the theoretical density at 7.3 g/cm³. The calculation puts the total energy at -4.51 eV per atom. The value obtained for the energy of formation from the pure elements is 102.2 meV/atom.

Geometry as extended XYZ:
```
9
Lattice="9.2229 -1.8393 0.0000 9.2229 1.8393 0.0000 -2.4184 0.0000 9.9444" Properties=species:S:1:pos:R:3 pbc="T T T"
Ac -0.1912 0.0000 1.8231
Ac 16.2185 0.0000 8.1213
Nd 1.2910 0.0000 7.0188
Nd 3.8565 0.0000 9.6943
Nd 8.0137 0.0000 4.9722
Nd 12.1709 0.0000 0.2500
Nd 14.7363 0.0000 2.9256
Sm 4.6144 0.0000 5.9215
Sm 11.4129 0.0000 4.0229
```



(3)
Material: Ac2Nd2Sm7
Method: DFT, GGA-PBE
State: relaxed

Properties
As for the space group: C2/m (12). The calculation puts the theoretical density at 7.1 g/cm³. The calculation puts the total energy at -4.30 eV per atom. The value obtained for the energy of formation from the pure elements is 320.9 meV/atom.

Geometry as extended XYZ:
```
11
Lattice="5.0345 -4.6186 0.0000 5.0345 4.6186 0.0000 -2.8801 0.0000 9.0572" Properties=species:S:1:pos:R:3 pbc="T T T"
Ac 0.1033 0.0000 3.6463
Ac 7.0856 0.0000 5.4109
Nd 5.0345 3.1268 0.0000
Nd 5.0345 -3.1268 0.0000
Sm 2.9111 1.7756 1.9827
Sm 1.0209 0.0000 7.7606
Sm 4.2778 1.7756 7.0745
Sm 3.5945 0.0000 4.5286
Sm 2.9111 -1.7756 1.9827
Sm 6.1680 0.0000 1.2966
Sm 4.2778 -1.7756 7.0745
```



(4)
Material: Ac7Nd2Sm2
Method: DFT, GGA-PBE
State: relaxed

Properties
As for the space group: C2/m (12). The calculation puts the theoretical density at 7.9 g/cm³. The calculation puts the total energy at -4.24 eV per atom. The value obtained for the energy of formation from the pure elements is 94.5 meV/atom.

Geometry as extended XYZ:
```
11
Lattice="4.8554 -5.1823 0.0000 4.8554 5.1823 0.0000 -1.9926 0.0000 9.1420" Properties=species:S:1:pos:R:3 pbc="T T T"
Ac 0.0000 0.0000 0.0000
Ac 1.0628 1.9413 7.3174
Ac 0.7053 0.0000 3.8203
Ac 1.0628 -1.9413 7.3174
Ac 6.6554 1.9413 1.8246
Ac 7.0129 0.0000 5.3217
Ac 6.6554 -1.9413 1.8246
Nd 3.4776 0.0000 1.4055
Nd 4.2406 0.0000 7.7365
Sm 3.8591 1.8001 4.5710
Sm 3.8591 -1.8001 4.5710
```



(5)
Material: Ac12Nd3Sm
Method: DFT, GGA-PBE
State: relaxed

Properties
As for the space group: P4/mmm (123). The calculation puts the theoretical density at 8.1 g/cm³. The calculation puts the total energy at -4.25 eV per atom. The value obtained for the energy of formation from the pure elements is 23.5 meV/atom.

Geometry as extended XYZ:
```
16
Lattice="5.5369 0.0000 0.0000 0.0000 5.5369 0.0000 0.0000 0.0000 22.0732" Properties=species:S:1:pos:R:3 pbc="T T T"
Ac 0.0000 0.0000 0.0000
Ac 0.0000 0.0000 5.5083
Ac 0.0000 0.0000 11.0366
Ac 0.0000 0.0000 16.5649
Ac 0.0000 2.7684 2.7459
Ac 0.0000 2.7684 8.2716
Ac 0.0000 2.7684 13.8015
Ac 0.0000 2.7684 19.3272
Ac 2.7684 0.0000 2.7459
Ac 2.7684 0.0000 8.2716
Ac 2.7684 0.0000 13.8015
Ac 2.7684 0.0000 19.3272
Nd 2.7684 2.7684 5.5072
Nd 2.7684 2.7684 11.0366
Nd 2.7684 2.7684 16.5660
Sm 2.7684 2.7684 0.0000
```



(6)
Material: Ac3NdSm3
Method: DFT, GGA-PBE
State: relaxed

Properties
As for the space group: R-3 (148). The calculation puts the theoretical density at 7.8 g/cm³. The calculation puts the total energy at -4.42 eV per atom. The value obtained for the energy of formation from the pure elements is 42.7 meV/atom.

Geometry as extended XYZ:
```
14
Lattice="5.0177 2.8970 6.2073 -5.0177 2.8970 6.2073 0.0000 -5.7939 6.2073" Properties=species:S:1:pos:R:3 pbc="T T T"
Ac -1.4183 -1.7236 7.7431
Ac -2.2018 0.3664 10.8788
Ac -0.7836 2.0901 7.7431
Ac 0.7836 -2.0901 10.8788
Ac 2.2018 -0.3664 7.7431
Ac 1.4183 1.7236 10.8788
Nd 0.0000 0.0000 4.5455
Nd 0.0000 0.0000 14.0764
Sm -4.3451 0.8621 7.7540
Sm -2.9192 -3.3319 10.8678
Sm 1.4259 -4.1941 7.7540
Sm -1.4259 4.1941 10.8678
Sm 2.9192 3.3319 7.7540
Sm 4.3451 -0.8621 10.8678
```



(7)
Material: Ac8Nd2Sm
Method: DFT, GGA-PBE
State: relaxed

Properties
As for the space group: C2/m (12). The calculation puts the theoretical density at 7.3 g/cm³. The calculation puts the total energy at -3.91 eV per atom. The value obtained for the energy of formation from the pure elements is 370.2 meV/atom.

Geometry as extended XYZ:
```
11
Lattice="6.6424 -6.3360 0.0000 6.6424 6.3360 0.0000 -1.5255 0.0000 6.1167" Properties=species:S:1:pos:R:3 pbc="T T T"
Ac 0.6599 0.0000 1.7888
Ac 4.9886 3.0792 1.2348
Ac 1.7399 0.0000 5.4112
Ac 6.7708 3.0792 4.8819
Ac 4.9886 -3.0792 1.2348
Ac 10.0194 0.0000 0.7055
Ac 6.7708 -3.0792 4.8819
Ac 11.0995 0.0000 4.3279
Nd 4.1759 0.0000 2.9474
Nd 7.5834 0.0000 3.1693
Sm 6.6424 0.0000 0.0000
```



(8)
Material: Ac4Nd5Sm
Method: DFT, GGA-PBE
State: relaxed

Properties
As for the space group: P4/mmm (123). The calculation puts the theoretical density at 7.6 g/cm³. The calculation puts the total energy at -4.47 eV per atom. The value obtained for the energy of formation from the pure elements is 33.3 meV/atom.

Geometry as extended XYZ:
```
10
Lattice="3.8501 0.0000 0.0000 0.0000 3.8501 0.0000 0.0000 0.0000 26.1953" Properties=species:S:1:pos:R:3 pbc="T T T"
Ac 0.0000 0.0000 2.6600
Ac 0.0000 0.0000 7.9891
Ac 0.0000 0.0000 18.2062
Ac 0.0000 0.0000 23.5353
Nd 1.9250 1.9250 0.0000
Nd 1.9250 1.9250 5.3227
Nd 1.9250 1.9250 10.6647
Nd 1.9250 1.9250 15.5306
Nd 1.9250 1.9250 20.8726
Sm 0.0000 0.0000 13.0977
```